Arrangement i

VASP calculation (PBE) on an optimized crystal structure of HoBiF.

Values from the calculation:
volume = 74 Å³/f.u.
total magnetic moment = 0.00 μB per atom
space group = No. 12
theoretical density = 8.777 g cm⁻³
density of states at the Fermi level = 2.44 states/eV per cell

Cell: 3.7074 7.2130 6.1645 Å, 74.49 72.50 75.11°
Last column: nearest neighbours and their distance in Å.
Fractional coordinates of all 6 atoms:
Bi 0.4016 0.8676 0.3292  5 Ho 3.27-3.39, 2 Bi 3.52
F 0.7867 0.5715 0.8551  3 Ho 2.26-2.38
F 0.2133 0.4285 0.1449  3 Ho 2.26-2.38
Bi 0.5984 0.1324 0.6708  5 Ho 3.27-3.39, 2 Bi 3.52
Ho 0.1782 0.7458 0.8977  3 F 2.26-2.38
Ho 0.8218 0.2542 0.1023  3 F 2.26-2.38

=====

Arrangement ii

VASP calculation (PBE) on an optimized crystal structure of HoBiF.

Values from the calculation:
volume = 67 Å³/f.u.
total magnetic moment = 0.00 μB per atom
space group = No. 187
theoretical density = 9.759 g cm⁻³
density of states at the Fermi level = 0.97 states/eV per cell

Cell: 4.9335 3.9557 3.9557 Å, 120.00 90.00 90.00°
Last column: nearest neighbours and their distance in Å.
Fractional coordinates of all 3 atoms:
Ho 0.1667 0.0000 0.0000  3 F 2.28
Bi 0.6667 0.6667 0.3333  6 F 3.36, 6 Ho 3.36
F 0.1666 0.3333 0.6667  3 Ho 2.28

=====

arrangement i wins, 0.029 eV/atom ahead of the next structure.

=====

Arrangement i

VASP calculation (PBE) on an optimized crystal structure of BiI2F.

Values from the calculation:
volume = 106 Å³/f.u.
total magnetic moment = 0.00 μB per atom
space group = No. 225
theoretical density = 7.527 g cm⁻³
density of states at the Fermi level = 0.00 states/eV per cell

Cell: 5.3170 5.3170 5.3170 Å, 60.00 60.00 60.00°
Last column: nearest neighbours and their distance in Å.
Fractional coordinates of all 4 atoms:
I 0.2500 0.2500 0.2500  4 Bi 3.26, 4 F 3.26
Bi 0.5000 0.5000 0.5000  8 I 3.26
I 0.7500 0.7500 0.7500  4 F 3.26, 4 Bi 3.26
F 0.0000 0.0000 0.0000  8 I 3.26

=====

Arrangement ii

VASP calculation (PBE) on an optimized crystal structure of BiI2F.

Values from the calculation:
volume = 128 Å³/f.u.
total magnetic moment = 0.00 μB per atom
space group = No. 122
theoretical density = 6.233 g cm⁻³
density of states at the Fermi level = 0.00 states/eV per cell

Cell: 7.9296 7.9296 6.9360 Å, 55.14 55.14 90.00°
Last column: nearest neighbours and their distance in Å.
Fractional coordinates of all 8 atoms:
I 0.1351 0.6250 0.2500  2 F 2.93, 2 Bi 3.04
I 0.8750 0.8649 0.7500  2 F 2.93, 2 Bi 3.04
F 0.2500 0.7500 0.5000  4 I 2.93
Bi 0.7500 0.2500 0.5000  4 I 3.04
Bi 0.0000 0.0000 0.0000  4 I 3.04
I 0.3750 0.3851 0.7500  2 F 2.93, 2 Bi 3.04
F 0.5000 0.5000 0.0000  4 I 2.93
I 0.6149 0.1250 0.2500  2 F 2.93, 2 Bi 3.04

=====

arrangement i wins, 0.117 eV/atom ahead of the next structure.

=====

Arrangement i

VASP calculation (PBE) on an optimized crystal structure of BiI2F.

Values from the calculation:
volume = 153 Å³/f.u.
total magnetic moment = 0.00 μB per atom
space group = No. 52
theoretical density = 5.234 g cm⁻³
density of states at the Fermi level = 0.00 states/eV per cell

Cell: 6.7762 7.7632 11.6222 Å, 90.00 90.00 90.00°
Last column: nearest neighbours and their distance in Å.
Fractional coordinates of all 16 atoms:
I 0.2522 0.5889 0.9216  2 Bi 3.07-3.15
F 0.7501 0.3062 0.7500  2 Bi 2.35
F 0.2501 0.1938 0.7500  2 Bi 2.35
I 0.7478 0.9111 0.9216  2 Bi 3.07-3.15
I 0.2522 0.0889 0.0784  2 Bi 3.07-3.15
I 0.7522 0.9111 0.5784  2 Bi 3.07-3.15
I 0.7478 0.4111 0.0784  2 Bi 3.07-3.15
Bi 0.0000 0.7500 0.3854  2 F 2.35
F 0.2499 0.6938 0.2500  2 Bi 2.35
F 0.7499 0.8062 0.2500  2 Bi 2.35
Bi 0.0000 0.2500 0.6146  2 F 2.35
I 0.2478 0.0889 0.4216  2 Bi 3.07-3.15
I 0.7522 0.4111 0.4216  2 Bi 3.07-3.15
Bi 0.5000 0.2500 0.8854  2 F 2.35
Bi 0.5000 0.7500 0.1146  2 F 2.35
I 0.2478 0.5889 0.5784  2 Bi 3.07-3.15

=====

Arrangement ii

VASP calculation (PBE) on an optimized crystal structure of BiI2F.

Values from the calculation:
volume = 158 Å³/f.u.
total magnetic moment = 0.00 μB per atom
space group = No. 71
theoretical density = 5.071 g cm⁻³
density of states at the Fermi level = 0.00 states/eV per cell

Cell: 4.4002 4.5974 8.4235 Å, 105.84 105.14 90.00°
Last column: nearest neighbours and their distance in Å.
Fractional coordinates of all 4 atoms:
F 0.0000 0.5016 0.0000  2 Bi 2.30
Bi 0.0000 0.0016 0.0000  2 F 2.30
I 0.6411 0.1427 0.2822  2 Bi 3.11
I 0.3589 0.8605 0.7178  2 Bi 3.11

=====

arrangement ii wins, 0.058 eV/atom ahead of the next structure.